Arrangement A

Below is AcBiSe2 after structural relaxation, with properties calculated at the PBE level.

Structure (CIF):
```
data_AcBiSe2
_space_group_name_H-M_alt 'P 4/m m m'
_space_group_IT_number 123
_space_group_name_Hall '-P 4 2'
_cell_length_a 5.1844
_cell_length_b 5.1844
_cell_length_c 4.0795
_cell_angle_alpha 90.00
_cell_angle_beta 90.00
_cell_angle_gamma 90.00
loop_
_atom_site_label
_atom_site_type_symbol
_atom_site_fract_x
_atom_site_fract_y
_atom_site_fract_z
Ac1 Ac 0.0000 0.0000 0.0000
Bi1 Bi 0.5000 0.5000 0.0000
Se1 Se 0.0000 0.5000 0.5000
```

Output
theoretical density	8.99	g/cm³
magnetization	0.00	μB per formula unit

Arrangement B

Below is AcBiSe2 after structural relaxation, with properties calculated at the PBE level.

Structure (CIF):
```
data_AcBiSe2
_space_group_name_H-M_alt 'R -3 m'
_space_group_IT_number 166
_space_group_name_Hall '-R 3 2"'
_cell_length_a 5.7610
_cell_length_b 5.7610
_cell_length_c 12.0318
_cell_angle_alpha 90.00
_cell_angle_beta 90.00
_cell_angle_gamma 120.00
loop_
_atom_site_label
_atom_site_type_symbol
_atom_site_fract_x
_atom_site_fract_y
_atom_site_fract_z
Ac1 Ac 0.0000 0.0000 0.0000
Bi1 Bi 0.0000 0.0000 0.5000
Se1 Se 0.0000 0.0000 0.2648
```

Output
theoretical density	8.56	g/cm³
magnetization	0.00	μB per formula unit

arrangement A wins, 4.3 kJ/mol of atoms ahead of the next structure.

Arrangement A

Below is Ac2SiBi after structural relaxation, with properties calculated at the PBE level.

Structure (CIF):
```
data_Ac2SiBi
_space_group_name_H-M_alt 'R -3 m'
_space_group_IT_number 166
_space_group_name_Hall '-R 3 2"'
_cell_length_a 4.6657
_cell_length_b 4.6657
_cell_length_c 23.6800
_cell_angle_alpha 90.00
_cell_angle_beta 90.00
_cell_angle_gamma 120.00
loop_
_atom_site_label
_atom_site_type_symbol
_atom_site_fract_x
_atom_site_fract_y
_atom_site_fract_z
Ac1 Ac 0.0000 0.0000 0.2427
Si1 Si 0.0000 0.0000 0.5000
Bi1 Bi 0.0000 0.0000 0.0000
```

Output
theoretical density	7.71	g/cm³
magnetization	0.00	μB per formula unit

Arrangement B

Below is Ac2SiBi after structural relaxation, with properties calculated at the PBE level.

Structure (CIF):
```
data_Ac2SiBi
_space_group_name_H-M_alt 'P 4/m m m'
_space_group_IT_number 123
_space_group_name_Hall '-P 4 2'
_cell_length_a 3.8298
_cell_length_b 3.8298
_cell_length_c 8.7857
_cell_angle_alpha 90.00
_cell_angle_beta 90.00
_cell_angle_gamma 90.00
loop_
_atom_site_label
_atom_site_type_symbol
_atom_site_fract_x
_atom_site_fract_y
_atom_site_fract_z
Ac1 Ac 0.0000 0.0000 0.2172
Si1 Si 0.5000 0.5000 0.0000
Bi1 Bi 0.5000 0.5000 0.5000
```

Output
theoretical density	8.91	g/cm³
magnetization	0.00	μB per formula unit

arrangement A wins, 10.1 kJ/mol of atoms ahead of the next structure.

Arrangement A

Below is AcSnBi after structural relaxation, with properties calculated at the PBE level.

Structure (CIF):
```
data_AcSnBi
_space_group_name_H-M_alt 'F -4 3 m'
_space_group_IT_number 216
_space_group_name_Hall 'F -4 2 3'
_cell_length_a 7.8653
_cell_length_b 7.8653
_cell_length_c 7.8653
_cell_angle_alpha 90.00
_cell_angle_beta 90.00
_cell_angle_gamma 90.00
loop_
_atom_site_label
_atom_site_type_symbol
_atom_site_fract_x
_atom_site_fract_y
_atom_site_fract_z
Ac1 Ac 0.0000 0.0000 0.0000
Sn1 Sn 0.2500 0.2500 0.2500
Bi1 Bi 0.2500 0.2500 0.7500
```

Output
theoretical density	7.57	g/cm³
magnetization	0.00	μB per formula unit

Arrangement B

Below is AcSnBi after structural relaxation, with properties calculated at the PBE level.

Structure (CIF):
```
data_AcSnBi
_space_group_name_H-M_alt 'P -6 m 2'
_space_group_IT_number 187
_space_group_name_Hall 'P -6 2'
_cell_length_a 5.3102
_cell_length_b 5.3102
_cell_length_c 4.2624
_cell_angle_alpha 90.00
_cell_angle_beta 90.00
_cell_angle_gamma 120.00
loop_
_atom_site_label
_atom_site_type_symbol
_atom_site_fract_x
_atom_site_fract_y
_atom_site_fract_z
Ac1 Ac 0.0000 0.0000 0.0000
Sn1 Sn 0.3333 0.6667 0.5000
Bi1 Bi 0.6667 0.3333 0.5000
```

Output
theoretical density	8.85	g/cm³
magnetization	0.00	μB per formula unit

Arrangement C

Below is AcSnBi after structural relaxation, with properties calculated at the PBE level.

Structure (CIF):
```
data_AcSnBi
_space_group_name_H-M_alt 'C m c m'
_space_group_IT_number 63
_space_group_name_Hall '-C 2c 2'
_cell_length_a 4.8162
_cell_length_b 18.6198
_cell_length_c 4.5827
_cell_angle_alpha 90.00
_cell_angle_beta 90.00
_cell_angle_gamma 90.00
loop_
_atom_site_label
_atom_site_type_symbol
_atom_site_fract_x
_atom_site_fract_y
_atom_site_fract_z
Ac1 Ac 0.0000 0.1039 0.2500
Sn1 Sn 0.0000 0.4489 0.2500
Bi1 Bi 0.0000 0.2517 0.7500
```

Output
theoretical density	8.97	g/cm³
magnetization	0.00	μB per formula unit

Arrangement D

Below is AcSnBi after structural relaxation, with properties calculated at the PBE level.

Structure (CIF):
```
data_AcSnBi
_space_group_name_H-M_alt 'C m c m'
_space_group_IT_number 63
_space_group_name_Hall '-C 2c 2'
_cell_length_a 5.9254
_cell_length_b 11.3939
_cell_length_c 5.8941
_cell_angle_alpha 90.00
_cell_angle_beta 90.00
_cell_angle_gamma 90.00
loop_
_atom_site_label
_atom_site_type_symbol
_atom_site_fract_x
_atom_site_fract_y
_atom_site_fract_z
Ac1 Ac 0.0000 0.2475 0.2500
Sn1 Sn 0.0000 0.0592 0.7500
Bi1 Bi 0.0000 0.4356 0.7500
```

Output
theoretical density	9.26	g/cm³
magnetization	0.00	μB per formula unit

arrangement C wins, 17.4 kJ/mol of atoms ahead of the next structure.